The following is a GGA+U calculation of a relaxed structure of Mn2BF, from Alexandria via LeMat-Bulk.

Unit cell a=4.111 b=4.111 c=4.111 alpha=60.00 beta=60.00 gamma=60.00
Last column: magnetic moment on the atom in μB.
Sites, in units of the cell vectors:
B1 0.000 0.000 0.000  -0.50
F1 0.500 0.500 0.500  0.00
Mn1 0.750 0.750 0.750  4.32
Mn2 0.250 0.250 0.250  4.32

Output
Energy, eV for the cell shown: -23.733
Energy above the most stable polymorph in this dataset, kcal/mol of atoms: 3.73
Space group: Fm-3m
Magnetization, μB per formula unit: 8.00